# 1
NaReRu3: relaxed, PBE.

Values from the calculation:
As for the polymorph energy (0 for the lowest one): 1.0526 eV per atom. The calculation puts the formation energy at 2.43 eV per atom. The space group is Pm-3m, No. 221. For the density of states at the Fermi level, the calculation gives 5.17 states/eV/cell. As for the final energy: -29.420 eV/cell.

Unit cell a=4.3060 b=4.3060 c=4.3060 alpha=90.00 beta=90.00 gamma=90.00
Last column: magnetic moment on the atom in μB.
Fractional positions:
Ru1 0.5000 0.0000 0.0000  0.09
Ru2 0.0000 0.5000 0.0000  0.09
Ru3 0.0000 0.0000 0.5000  0.07
Na1 0.0000 0.0000 0.0000  0.00
Re1 0.5000 0.5000 0.5000  -0.39

***

# 2
NaRe3Ru: relaxed, PBE.

Values from the calculation:
As for the polymorph energy (0 for the lowest one): 0.0000 eV per atom. The calculation puts the formation energy at 2.09 eV per atom. The space group is Pm-3m, No. 221. For the density of states at the Fermi level, the calculation gives 5.48 states/eV/cell. As for the final energy: -37.513 eV/cell.

Unit cell a=4.7379 b=4.7379 c=4.7379 alpha=90.00 beta=90.00 gamma=90.00
Last column: magnetic moment on the atom in μB.
Fractional positions:
Na1 0.5000 0.5000 0.5000  0.00
Re1 0.0000 0.5000 0.0000  0.72
Re2 0.5000 0.0000 0.0000  0.60
Re3 0.0000 0.0000 0.5000  0.61
Ru1 0.0000 0.0000 0.0000  -0.04